# Ta2Nb4Rh

A geometry-optimized Ta2Nb4Rh structure (PBE-GGA, Alexandria via LeMat-Bulk).

CIF file:
```
data_Ta2Nb4Rh
_symmetry_space_group_name_H-M 'P -1'
_symmetry_Int_Tables_number 2
_cell_length_a 2.7921
_cell_length_b 7.2021
_cell_length_c 7.2774
_cell_angle_alpha 117.75
_cell_angle_beta 98.30
_cell_angle_gamma 96.22
loop_
_symmetry_equiv_pos_as_xyz
'x,y,z'
'-x,-y,-z'
loop_
_atom_site_label
_atom_site_fract_x
_atom_site_fract_y
_atom_site_fract_z
Ta1 0.2482 0.2179 0.1404
Nb1 0.1071 0.3579 0.5728
Nb2 0.4626 0.0716 0.7160
Rh1 0.5000 0.5000 0.0000
```

* volume: 125.5 Å³ per cell
* formation enthalpy at 0 K: -0.02 eV per atom